Model a:
DFT (GGA-PBE) results for a relaxed As2IrRh crystal.

POSCAR file:
```
As2IrRh
1.0
-2.0961 1.4508 -4.8929
-3.4037 -4.3387 0.1716
-6.5527 1.6399 0.1829
As Ir Rh
4 2 2
direct
0.6258 0.1250 0.2500
0.1242 0.6250 0.2500
0.3750 0.3742 0.7500
0.8750 0.8758 0.7500
0.0000 0.0000 0.0000
0.7500 0.2500 0.5000
0.5000 0.5000 0.0000
0.2500 0.7500 0.5000
```

Computed properties:
M_tot = 0.0 μB/cell
space group = I-42d, No. 122
density of states at the Fermi level = 4.95 states/eV per cell

---

Model b:
DFT (GGA-PBE) results for a relaxed As2IrRh crystal.

POSCAR file:
```
As2IrRh
1.0
2.9898 0.0000 0.0000
0.0000 2.9898 0.0000
0.0000 0.0000 7.9228
As Ir Rh
2 1 1
direct
0.0000 0.0000 0.9286
0.5000 0.5000 0.3191
0.0000 0.0000 0.4972
0.5000 0.5000 0.7551
```

Computed properties:
M_tot = 0.0 μB/cell
space group = P4mm, No. 99
density of states at the Fermi level = 3.03 states/eV per cell

---

Most stable: model b. Least stable: model a.